(1)
## Ta2AlOs (SCAN)

Data for a crystal of Ta2AlOs relaxed with PBEsol.

Space-group type: Immm, No. 71
Excess energy over the best structure of this formula in the dataset in eV/atom: 0.000

```
Ta2AlOs
1.0
3.194 0.000 0.000
0.000 4.368 0.000
-1.597 -2.184 4.518
Os Ta Al
1 2 1
direct
0.000 0.500 0.000
0.262 0.262 0.524
0.738 0.738 0.476
0.500 0.000 0.000
```

***

(2)
## Ta2AlOs (SCAN)

Data for a crystal of Ta2AlOs relaxed with PBEsol.

Space-group type: Cmm2, No. 35
Excess energy over the best structure of this formula in the dataset in eV/atom: 0.247

```
Ta2AlOs
1.0
2.812 0.011 0.000
-0.959 2.643 0.000
0.000 0.000 8.602
Os Ta Al
1 2 1
direct
0.500 0.500 0.256
0.000 0.000 0.012
0.500 0.500 0.746
0.000 0.000 0.487
```

***

(3)
## Ta2AlOs (SCAN)

Data for a crystal of Ta2AlOs relaxed with PBEsol.

Space-group type: F-43m, No. 216
Excess energy over the best structure of this formula in the dataset in eV/atom: 0.174

```
Ta2AlOs
1.0
4.465 0.000 0.000
2.232 3.866 0.000
2.232 1.289 3.645
Ta Os Al
2 1 1
direct
0.750 0.750 0.750
0.000 0.000 0.000
0.250 0.250 0.250
0.500 0.500 0.500
```

***

(4)
## Al2TeOs (SCAN)

Data for a crystal of Al2TeOs relaxed with PBEsol.

Space-group type: P4mm, No. 99
Raw formation energy in eV per atom: 0.14

```
Al2TeOs
1.0
-2.018 1.802 -1.452
-0.557 -2.248 -2.016
-5.522 -2.610 4.435
Al Te Os
2 1 1
direct
0.500 0.500 0.279
0.000 0.000 0.048
0.500 0.500 0.703
0.000 0.000 0.471
```

***

(5)
## AlTeOs3 (SCAN)

Data for a crystal of AlTeOs3 relaxed with PBEsol.

Space-group type: Pm-3m, No. 221
Raw formation energy in eV per atom: 1.66

```
AlTeOs3
1.0
4.457 0.000 0.000
0.000 4.457 0.000
0.000 0.000 4.457
Te Os Al
1 3 1
direct
0.500 0.500 0.500
0.000 0.500 0.000
0.000 0.000 0.500
0.500 0.000 0.000
0.000 0.000 0.000
```

***

(6)
## Al2TlTeOs (SCAN)

Data for a crystal of Al2TlTeOs relaxed with PBEsol.

Space-group type: P4/mmm, No. 123
Raw formation energy in eV per atom: 0.21

```
Al2TlTeOs
1.0
-1.690 4.186 1.529
-3.399 -0.153 -3.338
-3.240 -2.555 3.417
Os Tl Te Al
1 1 1 2
direct
0.000 0.000 0.000
0.500 0.500 0.500
0.000 0.000 0.500
0.000 0.500 0.000
0.500 0.000 0.000
```

***

Results for D(E_F): 2.7 2.7 4.6 2.0 4.1 2.7 (in states/eV/cell, following the order of the records).